Record 1
Sr2Se: optimized geometry, GGA-PBE.

Computed properties:
Uncorrected formation energy ... -1.1848 eV/atom
Calculated total energy ... -20.8 eV/cell
Magnetic moment ... 0.00 μB per atom

a b c (Å): 7.527 7.527 7.504
angles (deg): 89.92 89.92 31.71
Positions (direct):
Sr1 0.653 0.653 0.703
Sr2 0.625 0.625 0.204
Sr3 0.908 0.908 0.546
Sr4 0.370 0.370 0.046
Se1 0.031 0.031 0.917
Se2 0.247 0.247 0.416



Record 2
CsDyFeBr6: optimized geometry, GGA-PBE.

Computed properties:
Uncorrected formation energy ... -1.3717 eV/atom
Calculated total energy ... -36.3 eV/cell
Magnetic moment ... 0.44 μB per atom

a b c (Å): 7.120 7.120 8.178
angles (deg): 89.95 90.05 59.99
Positions (direct):
Cs1 0.000 0.000 0.000
Dy1 0.334 0.334 0.500
Fe1 0.667 0.667 0.500
Br1 0.983 0.383 0.308
Br2 0.383 0.983 0.692
Br3 0.630 0.386 0.694
Br4 0.984 0.633 0.692
Br5 0.386 0.630 0.306
Br6 0.633 0.984 0.308



Record 3
Co2OsRh: optimized geometry, GGA-PBE.

Computed properties:
Formation enthalpy at 0 K ... 0.122 eV per atom
E above lowest polymorph ... 0.04 eV per formula unit
Calculated total energy ... -32.3 eV/cell
Magnetic moment ... 0.54 μB per atom

a b c (Å): 2.639 2.639 7.188
angles (deg): 90.00 90.00 90.00
Positions (direct):
Co1 0.000 0.000 0.004
Co2 0.000 0.000 0.496
Os1 0.500 0.500 0.250
Rh1 0.500 0.500 0.750



Record 4
Sr2PrSnSe4: optimized geometry, GGA-PBE.

Computed properties:
Uncorrected formation energy ... -1.5419 eV/atom
Calculated total energy ... -38.4 eV/cell
Magnetic moment ... 0.00 μB per atom

a b c (Å): 4.357 7.545 7.603
angles (deg): 70.61 90.00 90.00
Positions (direct):
Sr1 0.000 0.000 0.000
Sr2 0.500 0.000 0.500
Pr1 0.500 0.500 0.000
Sn1 0.000 0.500 0.500
Se1 0.000 0.741 0.752
Se2 0.000 0.259 0.248
Se3 0.500 0.740 0.251
Se4 0.500 0.260 0.749